1.
Material: Ag3HgCl
Method: DFT, GGA-PBEsol
State: relaxed

Properties
DOS at the Fermi energy = 0.340 states/eV/atom
formation energy (no corrections) = 2.60 eV/f.u.
V = 23.412 Å³/atom

abc: 4.892 4.892 4.892
angles: 90.00 90.00 90.00
Fractional positions:
Ag 0.000 0.000 0.500
Ag 0.000 0.500 0.000
Ag 0.500 0.000 0.000
Hg 0.500 0.500 0.500
Cl 0.000 0.000 0.000

2.
Material: AgHg2Cl
Method: DFT, GGA-PBEsol
State: relaxed

Properties
DOS at the Fermi energy = 0.124 states/eV/atom
relative energy among the computed polymorphs = 0.69 eV/f.u.
formation energy (no corrections) = 0.00 eV/f.u.
V = 21.170 Å³/atom

abc: 5.279 5.279 5.279
angles: 129.82 129.82 73.69
Fractional positions:
Ag 0.000 0.000 0.000
Hg 0.250 0.750 0.500
Hg 0.500 0.500 0.000
Cl 0.750 0.250 0.500

3.
Material: AgHg2Cl
Method: DFT, GGA-PBEsol
State: relaxed

Properties
DOS at the Fermi energy = 0.014 states/eV/atom
relative energy among the computed polymorphs = 0.00 eV/f.u.
formation energy (no corrections) = -0.70 eV/f.u.
V = 22.530 Å³/atom

abc: 8.322 8.322 8.322
angles: 24.94 24.94 24.94
Fractional positions:
Ag 0.000 0.000 0.000
Hg 0.504 0.504 0.504
Hg 0.746 0.746 0.746
Cl 0.266 0.266 0.266